A relaxed AcCrSO2 crystal, computed with GGA+U.

Values from the calculation:
- space-group type = No. 63
- size of the total moment (Bohr magnetons per cell) = 6.0
- raw total energy (eV/atom) = -7.34

Geometry as CIF:
```
data_AcCrSO2
_chemical_formula_sum 'Ac2 Cr2 S2 O4'
_symmetry_space_group_name_H-M 'P 1'
_symmetry_Int_Tables_number 1
_cell_length_a 6.417
_cell_length_b 6.417
_cell_length_c 5.611
_cell_angle_alpha 90.00
_cell_angle_beta 90.00
_cell_angle_gamma 125.36
loop_
_symmetry_equiv_pos_as_xyz
'x,y,z'
loop_
_atom_site_label
_atom_site_type_symbol
_atom_site_fract_x
_atom_site_fract_y
_atom_site_fract_z
Ac1 Ac 0.130 0.870 0.750
Ac2 Ac 0.870 0.130 0.250
Cr1 Cr 0.484 0.516 0.250
Cr2 Cr 0.516 0.484 0.750
S1 S 0.274 0.726 0.250
S2 S 0.726 0.274 0.750
O1 O 0.263 0.263 0.000
O2 O 0.263 0.263 0.500
O3 O 0.737 0.737 0.000
O4 O 0.737 0.737 0.500
```